Material: KTlPb
Method: DFT, GGA-PBE
State: optimized geometry

Summary:
**Total DFT energy (no corrections)**: -2.485 eV per atom
**Relative energy among the computed polymorphs**: 74 meV/atom
**ΔE_f**: -0.095 eV per atom

a = 5.3556 Å, b = 5.3556 Å, c = 8.3884 Å
α = 90.00°, β = 90.00°, γ = 120.00°
Last column: nearest neighbours and their distance in Å.
Fractional positions:
Pb (0.3333, 0.6667, 0.4515)  4 Tl 3.20-3.35, 3 K 3.54
Pb (0.6667, 0.3333, 0.9515)  4 Tl 3.20-3.35, 3 K 3.54
Tl (0.3333, 0.6667, 0.0517)  4 Pb 3.20-3.35, 3 K 3.50
Tl (0.6667, 0.3333, 0.5517)  4 Pb 3.20-3.35, 3 K 3.50
K (0.0000, 0.0000, 0.7467)  3 Tl 3.50, 3 Pb 3.54
K (0.0000, 0.0000, 0.2467)  3 Tl 3.50, 3 Pb 3.54